A crystal of TaFeNi2 relaxed with PBEsol, computed with SCAN.

Calculated values
The value obtained for the formation energy from the elements is -0.096 eV per atom. The total moment is 1.9 Bohr magnetons per cell.

Lattice parameters (Å, degrees): 3.044 3.079 5.221 90.00 90.00 90.00
Space group Pmm2 (No. 25)
One atom of each set of equivalent atoms:
Ta (0.000, 0.000, 0.000)
Fe (0.500, 0.500, 0.729)
Ni (0.000, 0.000, 0.503)
Ni (0.500, 0.500, 0.264)